i) Density functional theory data (PBE) for YHgBr after structural relaxation.

Lattice parameters (Å, degrees): 7.342 7.342 7.342 151.44 151.44 40.84
Atoms (fractional coordinates):
Y  0.663  0.663  0.000
Hg  0.297  0.297  0.000
Br  0.040  0.040  0.000

The total magnetization is 0.00 μB/cell. As for the space group: No. 107.



ii) Density functional theory data (PBE) for YHgBr after structural relaxation.

Lattice parameters (Å, degrees): 5.048 5.048 5.048 60.00 60.00 60.00
Atoms (fractional coordinates):
Y  0.250  0.250  0.250
Hg  0.500  0.500  0.500
Br  0.000  0.000  0.000

The total magnetization is 0.00 μB/cell. As for the space group: No. 216.



Bottom line: i), by a margin of 299 meV/atom.



i) Density functional theory data (PBE) for YHgBr after structural relaxation.

Lattice parameters (Å, degrees): 4.958 4.958 4.958 60.00 60.00 60.00
Atoms (fractional coordinates):
Y  0.500  0.500  0.500
Hg  0.000  0.000  0.000
Br  0.250  0.250  0.250

The total magnetization is 0.00 μB/cell. As for the space group: No. 216.



ii) Density functional theory data (PBE) for YHgBr after structural relaxation.

Lattice parameters (Å, degrees): 3.798 3.798 15.617 90.00 90.00 120.00
Atoms (fractional coordinates):
Hg  0.607  0.213  0.000
Hg  0.279  0.558  0.500
Y  0.612  0.224  0.358
Y  0.612  0.224  0.642
Br  0.278  0.557  0.767
Br  0.278  0.557  0.233

The total magnetization is 0.25 μB/cell. As for the space group: No. 38.



Bottom line: ii), by a margin of 569 meV/atom.



i) Density functional theory data (PBE) for YHg3Br after structural relaxation.

Lattice parameters (Å, degrees): 6.012 6.012 6.012 90.00 90.00 90.00
Atoms (fractional coordinates):
Y  0.000  0.000  0.000
Hg  0.000  0.500  0.000
Hg  0.000  0.000  0.500
Hg  0.500  0.000  0.000
Br  0.500  0.500  0.500

The total magnetization is 0.00 μB/cell. As for the space group: No. 221.



ii) Density functional theory data (PBE) for YHg3Br after structural relaxation.

Lattice parameters (Å, degrees): 5.616 5.616 5.616 90.00 90.00 90.00
Atoms (fractional coordinates):
Y  0.500  0.500  0.500
Hg  0.000  0.500  0.000
Hg  0.000  0.000  0.500
Hg  0.500  0.000  0.000
Br  0.000  0.000  0.000

The total magnetization is 0.00 μB/cell. As for the space group: No. 221.



Bottom line: i), by a margin of 441 meV/atom.